# ThHg2Sb | the Alexandria database | PBE-GGA | relaxed
# **E_form (uncorrected)**: 0.221 eV per atom
# **E above lowest polymorph**: 643 meV/atom
data_ThHg2Sb
_cell_length_a 3.3960
_cell_length_b 3.3960
_cell_length_c 35.3932
_cell_angle_alpha 90.00
_cell_angle_beta 90.00
_cell_angle_gamma 120.00
_symmetry_space_group_name_H-M 'R -3 m'
_symmetry_Int_Tables_number 166
_symmetry_space_group_name_Hall '-R 3 2"'
loop_
_atom_site_label
_atom_site_type_symbol
_atom_site_fract_x
_atom_site_fract_y
_atom_site_fract_z
Th1 Th 0.0000 0.0000 0.0000
Hg1 Hg 0.0000 0.0000 0.0897
Sb1 Sb 0.0000 0.0000 0.5000